Arrangement w

Computed, not measured: a relaxed TbErAlCu crystal at the PBE level of DFT.

The structure belongs to space group F-43m (No. 216); the cell edges are 7.115, 7.115 and 7.115 Å and the angles 90.00°, 90.00° and 90.00°. The asymmetric unit holds Tb at (0.000, 0.000, 0.000), Er at (0.000, 0.000, 0.500), Al at (0.250, 0.250, 0.250) and Cu at (0.250, 0.250, 0.750).

Arrangement x

Computed, not measured: a relaxed TbErAlCu crystal at the PBE level of DFT.

The structure belongs to space group P4mm (No. 99); the cell edges are 3.462, 3.462 and 7.366 Å and the angles 90.00°, 90.00° and 90.00°. The asymmetric unit holds Tb at (0.000, 0.000, 0.000), Er at (0.000, 0.000, 0.471), Al at (0.500, 0.500, 0.732) and Cu at (0.500, 0.500, 0.250).

Energy ordering: arrangement x at the bottom, the next structure 39 meV/atom above.

Arrangement w

Computed, not measured: a relaxed ErTmAlCu crystal at the PBE level of DFT.

The structure belongs to space group F-43m (No. 216); the cell edges are 7.047, 7.047 and 7.047 Å and the angles 90.00°, 90.00° and 90.00°. The asymmetric unit holds Er at (0.000, 0.000, 0.000), Tm at (0.000, 0.000, 0.500), Al at (0.250, 0.250, 0.250) and Cu at (0.250, 0.250, 0.750).

Arrangement x

Computed, not measured: a relaxed ErTmAlCu crystal at the PBE level of DFT.

The structure belongs to space group P4mm (No. 99); the cell edges are 3.435, 3.435 and 7.285 Å and the angles 90.00°, 90.00° and 90.00°. The asymmetric unit holds Er at (0.000, 0.000, 0.000), Tm at (0.000, 0.000, 0.530), Al at (0.500, 0.500, 0.266) and Cu at (0.500, 0.500, 0.760).

Energy ordering: arrangement x at the bottom, the next structure 36 meV/atom above.

Arrangement w

Computed, not measured: a relaxed AlCuF crystal at the PBE level of DFT.

The structure belongs to space group Amm2 (No. 38); the cell edges are 12.886, 2.730 and 5.168 Å and the angles 90.00°, 90.00° and 90.00°. The asymmetric unit holds Al at (0.144, 0.000, 0.000), Cu at (0.000, 0.000, 0.688), Cu at (0.500, 0.000, 0.782) and F at (0.243, 0.000, 0.431).

Arrangement x

Computed, not measured: a relaxed AlCuF crystal at the PBE level of DFT.

The structure belongs to space group I-4m2 (No. 119); the cell edges are 2.801, 2.801 and 20.005 Å and the angles 90.00°, 90.00° and 90.00°. The asymmetric unit holds Al at (0.000, 0.000, 0.128), Cu at (0.000, 0.000, 0.293) and F at (0.000, 0.500, 0.064).

Energy ordering: arrangement x at the bottom, the next structure 282 meV/atom above.